Sc8Al2Re: optimized geometry, GGA-PBE.

Total magnetic moment, μB/atom: 0.074
Crystal system: orthorhombic
ΔH_f (0 K), eV/f.u.: -2.2

Unit cell a=8.444 b=8.444 c=8.444 alpha=145.70 beta=134.72 gamma=58.02
Fractional positions:
1 Sc 0.130 0.367 0.763
2 Sc 0.187 0.187 0.000
3 Sc 0.244 0.000 0.244
4 Sc 0.396 0.633 0.763
5 Sc 0.604 0.367 0.237
6 Sc 0.756 0.000 0.756
7 Sc 0.813 0.813 0.000
8 Sc 0.870 0.633 0.237
9 Al 0.312 0.812 0.500
10 Al 0.688 0.188 0.500
11 Re 0.000 0.500 0.500

---

Sc2AlRe: optimized geometry, GGA-PBE.

Total magnetic moment, μB/atom: 0.000
Crystal system: orthorhombic
ΔH_f (0 K), eV/f.u.: -0.8

Unit cell a=5.398 b=5.398 c=5.398 alpha=141.85 beta=130.16 gamma=64.45
Fractional positions:
1 Sc 0.000 0.000 0.000
2 Sc 0.729 0.229 0.500
3 Al 0.266 0.766 0.500
4 Re 0.477 0.477 0.000

---

| no. | N(E_F) (states/eV/cell) |
| --- | --- |
| 1 | 11.83 |
| 2 | 2.14 |